[1]
Here is crystalline TcAgMoPb2 at its relaxed geometry from Alexandria via LeMat-Bulk. Energies are from PBE-GGA.

Output
* DFT formation energy: 184.6 kJ/mol of atoms
* total magnetization: 7.41 Bohr magnetons per cell
* SG: P4/mmm, No. 123

Lattice parameters (Å, degrees): 5.3222 5.3222 5.2015 90.00 90.00 90.00
Fractional positions:
Tc 0.0000 0.0000 0.0000
Ag 0.5000 0.5000 0.5000
Mo 0.5000 0.5000 0.0000
Pb 0.0000 0.5000 0.5000
Pb 0.5000 0.0000 0.5000

[2]
Here is crystalline CaCo2PbW at its relaxed geometry from Alexandria via LeMat-Bulk. Energies are from PBE-GGA.

Output
* DFT formation energy: 197.8 kJ/mol of atoms
* total magnetization: 5.93 Bohr magnetons per cell
* SG: P4/mmm, No. 123

Lattice parameters (Å, degrees): 4.7852 4.7852 5.4991 90.00 90.00 90.00
Fractional positions:
Ca 0.0000 0.0000 0.0000
Co 0.0000 0.5000 0.5000
Co 0.5000 0.0000 0.5000
Pb 0.0000 0.0000 0.5000
W 0.5000 0.5000 0.0000